Below is an optimized crystal structure of TaCo3, with properties calculated at the GGA-PBE level.

Values from the calculation:
calculated total energy = -7.92 eV per atom

Cell lengths 6.723, 7.395, 4.374 Å; angles 90.00, 90.00, 90.00 degrees
Positions (direct):
Ta 0.000 0.104 0.250
Ta 0.000 0.896 0.750
Ta 0.500 0.396 0.750
Ta 0.500 0.604 0.250
Co 0.000 0.441 0.250
Co 0.000 0.559 0.750
Co 0.170 0.241 0.750
Co 0.170 0.759 0.250
Co 0.330 0.259 0.250
Co 0.330 0.741 0.750
Co 0.500 0.059 0.750
Co 0.500 0.941 0.250
Co 0.670 0.259 0.250
Co 0.670 0.741 0.750
Co 0.830 0.241 0.750
Co 0.830 0.759 0.250

=====

Below is an optimized crystal structure of Ta5Co3, with properties calculated at the GGA-PBE level.

Values from the calculation:
calculated total energy = -10.12 eV per atom
ΔE to the lowest computed polymorph = 98.7 meV/atom

Cell lengths 6.268, 8.888, 4.439 Å; angles 90.00, 90.00, 90.00 degrees
Positions (direct):
Ta 0.000 0.000 0.000
Ta 0.242 0.500 0.500
Ta 0.250 0.250 0.000
Ta 0.250 0.750 0.000
Ta 0.258 0.000 0.500
Ta 0.500 0.500 0.000
Ta 0.742 0.000 0.500
Ta 0.750 0.250 0.000
Ta 0.750 0.750 0.000
Ta 0.758 0.500 0.500
Co 0.000 0.254 0.500
Co 0.000 0.500 0.000
Co 0.000 0.746 0.500
Co 0.500 0.000 0.000
Co 0.500 0.246 0.500
Co 0.500 0.754 0.500

=====

Below is an optimized crystal structure of TaCo7, with properties calculated at the GGA-PBE level.

Values from the calculation:
calculated total energy = -7.72 eV per atom

Cell lengths 5.092, 5.092, 5.092 Å; angles 60.00, 60.00, 60.00 degrees
Positions (direct):
Ta 0.000 0.000 0.000
Co 0.000 0.000 0.500
Co 0.000 0.500 0.000
Co 0.000 0.500 0.500
Co 0.500 0.000 0.000
Co 0.500 0.000 0.500
Co 0.500 0.500 0.000
Co 0.500 0.500 0.500

=====

Below is an optimized crystal structure of Ta7Co6, with properties calculated at the GGA-PBE level.

Values from the calculation:
calculated total energy = -9.92 eV per atom
ΔE to the lowest computed polymorph = 0.0 meV/atom

Cell lengths 9.212, 9.212, 9.212 Å; angles 31.24, 31.24, 31.24 degrees
Positions (direct):
Ta 0.000 0.000 0.000
Ta 0.166 0.166 0.166
Ta 0.346 0.346 0.346
Ta 0.450 0.450 0.450
Ta 0.550 0.550 0.550
Ta 0.654 0.654 0.654
Ta 0.834 0.834 0.834
Co 0.092 0.092 0.581
Co 0.092 0.581 0.092
Co 0.419 0.908 0.908
Co 0.581 0.092 0.092
Co 0.908 0.419 0.908
Co 0.908 0.908 0.419

=====

Number 1: energy of formation 0.37 eV per atom, magnetization 3.6 μB per formula unit. Number 2: energy of formation -0.05 eV per atom, magnetization 3.7 μB per formula unit. Number 3: energy of formation -0.02 eV per atom, magnetization 8.9 μB per formula unit. Number 4: energy of formation -0.26 eV per atom, magnetization 0.0 μB per formula unit.